First-principles (PBE) data for a relaxed Be2AgMoSe crystal, as listed in the Alexandria database.

Computed properties:
E_form (uncorrected) (eV/atom): 1.33
Space group: P4/mmm (123)

Structure (CIF):
```
data_Be2AgMoSe
_chemical_formula_sum 'Be2 Ag1 Mo1 Se1'
_space_group_name_H-M_alt 'P 1'
_space_group_IT_number 1
_cell_length_a 4.263
_cell_length_b 4.981
_cell_length_c 4.263
_cell_angle_alpha 90.00
_cell_angle_beta 90.00
_cell_angle_gamma 90.00
loop_
_space_group_symop_operation_xyz
'x,y,z'
loop_
_atom_site_label
_atom_site_fract_x
_atom_site_fract_y
_atom_site_fract_z
Be1 0.000 0.000 0.500
Be2 0.500 0.000 0.000
Se1 0.000 0.000 0.000
Ag1 0.000 0.500 0.000
Mo1 0.500 0.500 0.500
```

=====

First-principles (PBE) data for a relaxed Pa4Pb3O12 crystal, as listed in the Alexandria database.

Computed properties:
E_form (uncorrected) (eV/atom): -2.77
Space group: Im-3 (204)

Structure (CIF):
```
data_Pa4Pb3O12
_chemical_formula_sum 'Pa4 Pb3 O12'
_space_group_name_H-M_alt 'P 1'
_space_group_IT_number 1
_cell_length_a 7.531
_cell_length_b 7.531
_cell_length_c 7.531
_cell_angle_alpha 109.47
_cell_angle_beta 109.47
_cell_angle_gamma 109.47
loop_
_space_group_symop_operation_xyz
'x,y,z'
loop_
_atom_site_label
_atom_site_fract_x
_atom_site_fract_y
_atom_site_fract_z
Pb1 0.000 0.500 0.500
Pa1 0.500 0.000 0.000
O1 0.709 0.924 0.215
O2 0.785 0.709 0.494
Pa2 0.000 0.500 0.000
O3 0.215 0.291 0.506
O4 0.291 0.076 0.785
O5 0.076 0.785 0.291
O6 0.924 0.215 0.709
Pb2 0.500 0.000 0.500
O7 0.215 0.709 0.924
Pa3 0.500 0.500 0.500
Pb3 0.500 0.500 0.000
O8 0.709 0.494 0.785
Pa4 0.000 0.000 0.500
O9 0.494 0.785 0.709
O10 0.506 0.215 0.291
O11 0.785 0.291 0.076
O12 0.291 0.506 0.215
```

=====

First-principles (PBE) data for a relaxed CsNpReN4 crystal, as listed in the Alexandria database.

Computed properties:
E_form (uncorrected) (eV/atom): -0.44
Space group: P2_1/m (11)

Structure (CIF):
```
data_CsNpReN4
_chemical_formula_sum 'Cs2 Np2 Re2 N8'
_space_group_name_H-M_alt 'P 1'
_space_group_IT_number 1
_cell_length_a 6.038
_cell_length_b 6.086
_cell_length_c 8.369
_cell_angle_alpha 90.00
_cell_angle_beta 107.36
_cell_angle_gamma 90.00
loop_
_space_group_symop_operation_xyz
'x,y,z'
loop_
_atom_site_label
_atom_site_fract_x
_atom_site_fract_y
_atom_site_fract_z
N1 0.057 0.983 0.350
N2 0.943 0.483 0.650
Np1 0.201 0.250 0.543
Re1 0.737 0.250 0.638
N3 0.454 0.750 0.229
Re2 0.263 0.750 0.362
N4 0.487 0.750 0.560
N5 0.943 0.017 0.650
Np2 0.799 0.750 0.457
N6 0.546 0.250 0.771
Cs1 0.290 0.250 0.068
N7 0.513 0.250 0.440
Cs2 0.710 0.750 0.932
N8 0.057 0.517 0.350
```

=====

First-principles (PBE) data for a relaxed K4Pu3CrSe8 crystal, as listed in the Alexandria database.

Computed properties:
E_form (uncorrected) (eV/atom): -1.24
Space group: C2/m (12)

Structure (CIF):
```
data_K4Pu3CrSe8
_chemical_formula_sum 'K4 Pu3 Cr1 Se8'
_space_group_name_H-M_alt 'P 1'
_space_group_IT_number 1
_cell_length_a 8.373
_cell_length_b 9.034
_cell_length_c 8.401
_cell_angle_alpha 117.73
_cell_angle_beta 119.89
_cell_angle_gamma 90.00
loop_
_space_group_symop_operation_xyz
'x,y,z'
loop_
_atom_site_label
_atom_site_fract_x
_atom_site_fract_y
_atom_site_fract_z
Pu1 0.500 0.500 0.000
K1 0.000 0.000 0.000
Se1 0.246 0.304 0.024
Pu2 0.000 0.500 0.500
Se2 0.754 0.696 0.976
Se3 0.778 0.304 0.024
Pu3 0.500 0.500 0.500
Cr1 0.000 0.500 0.000
K2 0.000 0.000 0.500
Se4 0.780 0.305 0.560
K3 0.500 0.000 0.000
K4 0.500 0.000 0.500
Se5 0.222 0.696 0.976
Se6 0.220 0.695 0.440
Se7 0.263 0.291 0.526
Se8 0.737 0.709 0.474
```

=====

First-principles (PBE) data for a relaxed Ba2CaSb crystal, as listed in the Alexandria database.

Computed properties:
E_form (uncorrected) (eV/atom): -0.34
Space group: I-42d (122)

Structure (CIF):
```
data_Ba2CaSb
_chemical_formula_sum 'Ba4 Ca2 Sb2'
_space_group_name_H-M_alt 'P 1'
_space_group_IT_number 1
_cell_length_a 10.354
_cell_length_b 10.354
_cell_length_c 8.186
_cell_angle_alpha 50.77
_cell_angle_beta 50.77
_cell_angle_gamma 90.00
loop_
_space_group_symop_operation_xyz
'x,y,z'
loop_
_atom_site_label
_atom_site_fract_x
_atom_site_fract_y
_atom_site_fract_z
Ba1 0.063 0.625 0.250
Ca1 0.250 0.750 0.500
Ba2 0.875 0.937 0.750
Sb1 0.750 0.250 0.500
Sb2 0.000 0.000 0.000
Ba3 0.687 0.125 0.250
Ca2 0.500 0.500 0.000
Ba4 0.375 0.313 0.750
```

=====

First-principles (PBE) data for a relaxed Ir2Se crystal, as listed in the Alexandria database.

Computed properties:
E_form (uncorrected) (eV/atom): 0.63
Relative energy among the computed polymorphs (meV/atom): 618.3
Space group: P6_3/mmc (194)

Structure (CIF):
```
data_Ir2Se
_chemical_formula_sum 'Ir4 Se2'
_space_group_name_H-M_alt 'P 1'
_space_group_IT_number 1
_cell_length_a 4.390
_cell_length_b 4.390
_cell_length_c 5.601
_cell_angle_alpha 90.00
_cell_angle_beta 90.00
_cell_angle_gamma 120.00
loop_
_space_group_symop_operation_xyz
'x,y,z'
loop_
_atom_site_label
_atom_site_fract_x
_atom_site_fract_y
_atom_site_fract_z
Ir1 0.000 0.000 0.000
Ir2 0.333 0.667 0.250
Se1 0.333 0.667 0.750
Ir3 0.667 0.333 0.750
Ir4 0.000 0.000 0.500
Se2 0.667 0.333 0.250
```

=====

no.,VASP energy (Ry per atom)
1,-0.2644
2,-0.6238
3,-0.6578
4,-0.4812
5,-0.2079
6,-0.4735